1.
# Ca3Tb2CeTe6

An optimized crystal structure of Ca3Tb2CeTe6 (PBE-GGA, Alexandria).

Lattice parameters (Å, degrees): 7.6693 13.2737 7.8232 90.00 109.08 90.00
Space group C2/m (No. 12)
Unique sites:
Ca1 0.0000 0.0000 0.0000 (multiplicity 2)
Ca2 0.0000 0.3355 0.0000 (multiplicity 4)
Tb1 0.0000 0.1672 0.5000 (multiplicity 4)
Ce1 0.0000 0.5000 0.5000 (multiplicity 2)
Te1 0.2428 0.0000 0.7484 (multiplicity 4)
Te2 0.2467 0.1699 0.2500 (multiplicity 8)

Computed properties:
The spin magnetization comes out at 1.484 μB per formula unit. Its volume is 31.36 Å³/atom. As for the crystal system: monoclinic. The value obtained for the total energy is -4.7990 eV/atom. The calculation puts the formation energy (no corrections) at -1.462 eV/atom. The value obtained for the density of states at the Fermi level is 0.941 states/eV/atom.

2.
# Ca3TbCe3Te8

An optimized crystal structure of Ca3TbCe3Te8 (PBE-GGA, Alexandria).

Lattice parameters (Å, degrees): 8.9510 8.9510 22.2710 90.00 90.00 120.00
Space group R-3m (No. 166, hexagonal axes)
Unique sites:
Ca1 0.0000 0.5000 0.0000 (multiplicity 9)
Tb1 0.0000 0.0000 0.5000 (multiplicity 3)
Ce1 0.0000 0.5000 0.5000 (multiplicity 9)
Te1 0.0000 0.0000 0.2518 (multiplicity 6)
Te2 0.0051 0.5026 0.2495 (multiplicity 18)

Computed properties:
The spin magnetization comes out at 4.035 μB per formula unit. Its volume is 34.34 Å³/atom. As for the crystal system: trigonal. The value obtained for the total energy is -5.0370 eV/atom. The calculation puts the formation energy (no corrections) at -1.466 eV/atom. The value obtained for the density of states at the Fermi level is 1.719 states/eV/atom.

3.
# Ca3TbCe2Te6

An optimized crystal structure of Ca3TbCe2Te6 (PBE-GGA, Alexandria).

Lattice parameters (Å, degrees): 19.6705 4.4427 9.0537 90.00 104.72 90.00
Space group C2/m (No. 12)
Unique sites:
Ca1 0.0000 0.0000 0.0000 (multiplicity 2)
Ca2 0.1676 0.5000 0.3345 (multiplicity 4)
Tb1 0.0000 0.0000 0.5000 (multiplicity 2)
Ce1 0.1678 0.5000 0.8356 (multiplicity 4)
Te1 0.0013 0.5000 0.2552 (multiplicity 4)
Te2 0.1644 0.0000 0.0878 (multiplicity 4)
Te3 0.1647 0.0000 0.5785 (multiplicity 4)

Computed properties:
The spin magnetization comes out at 2.871 μB per formula unit. Its volume is 31.88 Å³/atom. As for the crystal system: monoclinic. The value obtained for the total energy is -4.9077 eV/atom. The calculation puts the formation energy (no corrections) at -1.462 eV/atom. The value obtained for the density of states at the Fermi level is 1.430 states/eV/atom.

4.
# Ca2TbCeTl4

An optimized crystal structure of Ca2TbCeTl4 (PBE-GGA, Alexandria).

Lattice parameters (Å, degrees): 5.4769 5.4769 26.8972 90.00 90.00 120.00
Space group R-3m (No. 166, hexagonal axes)
Unique sites:
Ca1 0.0000 0.0000 0.2494 (multiplicity 6)
Tb1 0.0000 0.0000 0.5000 (multiplicity 3)
Ce1 0.0000 0.0000 0.0000 (multiplicity 3)
Tl1 0.0000 0.0000 0.1257 (multiplicity 6)
Tl2 0.0000 0.0000 0.3762 (multiplicity 6)

Computed properties:
The spin magnetization comes out at 1.075 μB per formula unit. Its volume is 29.11 Å³/atom. As for the crystal system: trigonal. The value obtained for the total energy is -3.3530 eV/atom. For the formation energy, the calculation gives -269.3 kJ/mol of formula units. The value obtained for the density of states at the Fermi level is 1.491 states/eV/atom.

5.
# CaTbCe2Tl4

An optimized crystal structure of CaTbCe2Tl4 (PBE-GGA, Alexandria).

Lattice parameters (Å, degrees): 5.4721 5.4721 26.9700 90.00 90.00 120.00
Space group R-3m (No. 166, hexagonal axes)
Unique sites:
Ca1 0.0000 0.0000 0.0000 (multiplicity 3)
Tb1 0.0000 0.0000 0.5000 (multiplicity 3)
Ce1 0.0000 0.0000 0.2526 (multiplicity 6)
Tl1 0.0000 0.0000 0.1265 (multiplicity 6)
Tl2 0.0000 0.0000 0.3768 (multiplicity 6)

Computed properties:
The spin magnetization comes out at 2.050 μB per formula unit. Its volume is 29.14 Å³/atom. As for the crystal system: trigonal. The value obtained for the total energy is -3.8033 eV/atom. For the formation energy, the calculation gives -237.6 kJ/mol of formula units. The value obtained for the density of states at the Fermi level is 2.074 states/eV/atom.

6.
# CaTb2CeTl4

An optimized crystal structure of CaTb2CeTl4 (PBE-GGA, Alexandria).

Lattice parameters (Å, degrees): 5.4283 5.4283 26.9772 90.00 90.00 120.00
Space group R-3m (No. 166, hexagonal axes)
Unique sites:
Ca1 0.0000 0.0000 0.0000 (multiplicity 3)
Tb1 0.0000 0.0000 0.2530 (multiplicity 6)
Ce1 0.0000 0.0000 0.5000 (multiplicity 3)
Tl1 0.0000 0.0000 0.1252 (multiplicity 6)
Tl2 0.0000 0.0000 0.3753 (multiplicity 6)

Computed properties:
The spin magnetization comes out at 0.989 μB per formula unit. Its volume is 28.68 Å³/atom. As for the crystal system: trigonal. The value obtained for the total energy is -3.6645 eV/atom. For the formation energy, the calculation gives -256.2 kJ/mol of formula units. The value obtained for the density of states at the Fermi level is 1.335 states/eV/atom.